DFT (PBE) results for K8Cd6O after structural relaxation.

Cell and atoms, written as POSCAR:
```
K8Cd6O
1.0
8.311 0.275 2.898
2.146 8.034 2.898
0.346 0.275 8.795
K Cd O
8 6 1
Direct
0.288 0.288 0.288
0.038 0.879 0.307
0.693 0.962 0.121
0.962 0.121 0.693
0.121 0.693 0.962
0.307 0.038 0.879
0.879 0.307 0.038
0.712 0.712 0.712
0.487 0.612 0.225
0.225 0.487 0.612
0.775 0.513 0.388
0.388 0.775 0.513
0.612 0.225 0.487
0.513 0.388 0.775
0.000 0.000 0.000
```

## Properties
The final energy is -1.53 eV/atom. The symmetry is R-3, No. 148. For the total magnetization, the calculation gives 0.000 Bohr magnetons per cell. The uncorrected formation energy is -0.251 eV/atom.